{
  "formula": "Ba3Sr2",
  "functional": "PBE",
  "state": "optimized geometry",
  "lattice": [[10.864, 0.000, 0.000], [0.000, 4.241, 0.000], [-5.113, 0.000, 13.127]],
  "species": ["Ba", "Ba", "Ba", "Ba", "Ba", "Ba", "Sr", "Sr", "Sr", "Sr"],
  "fractional_positions": [[0.020, 0.250, 0.259], [0.196, 0.250, 0.034], [0.419, 0.750, 0.342], [0.581, 0.250, 0.658], [0.804, 0.750, 0.966], [0.980, 0.750, 0.741], [0.191, 0.750, 0.544], [0.396, 0.750, 0.857], [0.604, 0.250, 0.143], [0.809, 0.250, 0.456]],
  "formation_energy_mev_per_atom": 43,
  "polymorph_energy_ev_per_fu": 0.11
}

{
  "formula": "NdH3Ru",
  "functional": "PBE",
  "state": "optimized geometry",
  "lattice": [[4.185, 0.000, 0.000], [0.000, 7.367, 0.000], [-2.686, 0.000, 7.562]],
  "species": ["Nd", "Nd", "Nd", "Nd", "H", "H", "H", "H", "H", "H", "H", "H", "H", "H", "H", "H", "Ru", "Ru", "Ru", "Ru"],
  "fractional_positions": [[0.128, 0.049, 0.286], [0.128, 0.451, 0.786], [0.872, 0.549, 0.214], [0.872, 0.951, 0.714], [0.256, 0.006, 0.036], [0.256, 0.494, 0.536], [0.269, 0.642, 0.044], [0.269, 0.858, 0.544], [0.361, 0.160, 0.622], [0.361, 0.340, 0.122], [0.639, 0.660, 0.878], [0.639, 0.840, 0.378], [0.731, 0.142, 0.456], [0.731, 0.358, 0.956], [0.744, 0.506, 0.464], [0.744, 0.994, 0.964], [0.476, 0.684, 0.482], [0.476, 0.816, 0.982], [0.524, 0.184, 0.018], [0.524, 0.316, 0.518]],
  "e_tot_ev_per_atom": -5.111
}

{
  "formula": "Cd4HgAu3",
  "functional": "PBE",
  "state": "optimized geometry",
  "lattice": [[2.416, 1.395, 8.015], [-2.416, 1.395, 8.015], [0.000, -2.790, 8.015]],
  "species": ["Cd", "Cd", "Cd", "Cd", "Hg", "Au", "Au", "Au"],
  "fractional_positions": [[0.121, 0.121, 0.121], [0.371, 0.371, 0.371], [0.629, 0.629, 0.629], [0.879, 0.879, 0.879], [0.500, 0.500, 0.500], [0.000, 0.000, 0.000], [0.248, 0.248, 0.248], [0.752, 0.752, 0.752]],
  "formation_energy_mev_per_atom": -94
}

Number 1: D(E_F) 6.45 states/eV/f.u.. Number 2: D(E_F) 0.05 states/eV/f.u.. Number 3: D(E_F) 2.81 states/eV/f.u..